Here is a relaxed structure of TlTeRh2 from Alexandria via LeMat-Bulk. Energies are from PBE.

Unit cell a=6.276 b=6.276 c=6.276 alpha=148.08 beta=142.54 gamma=50.01
Positions (direct):
1 Tl 0.000 0.000 0.000
2 Te 0.251 0.751 0.500
3 Rh 0.425 0.425 0.000
4 Rh 0.685 0.185 0.500

Summary:
**Distance to the lowest polymorph of the same formula**: 0.100 eV/f.u.
**Calculated volume**: 79.1 Å³ per cell

=====

Here is a relaxed structure of TeAu3F from Alexandria via LeMat-Bulk. Energies are from PBE.

Unit cell a=4.695 b=4.695 c=4.695 alpha=90.00 beta=90.00 gamma=90.00
Positions (direct):
1 Te 0.000 0.000 0.000
2 Au 0.000 0.500 0.500
3 Au 0.500 0.000 0.500
4 Au 0.500 0.500 0.000
5 F 0.500 0.500 0.500

Summary:
**Distance to the lowest polymorph of the same formula**: 0.277 eV/f.u.
**Calculated volume**: 103.5 Å³ per cell

=====

Here is a relaxed structure of K2SbIrSe from Alexandria via LeMat-Bulk. Energies are from PBE.

Unit cell a=6.808 b=6.808 c=5.187 alpha=90.00 beta=90.00 gamma=90.00
Positions (direct):
1 K 0.000 0.500 0.000
2 K 0.500 0.000 0.000
3 Sb 0.000 0.000 0.000
4 Ir 0.500 0.500 0.500
5 Se 0.000 0.000 0.500

Summary:
**Calculated volume**: 240.4 Å³ per cell
**Uncorrected energy**: -2.887 eV per atom

=====

Here is a relaxed structure of TlSeO2 from Alexandria via LeMat-Bulk. Energies are from PBE.

Unit cell a=6.716 b=6.716 c=6.716 alpha=132.14 beta=132.14 gamma=70.01
Positions (direct):
1 Tl 0.000 0.000 0.000
2 Tl 0.750 0.250 0.500
3 Se 0.250 0.750 0.500
4 Se 0.500 0.500 0.000
5 O 0.254 0.625 0.129
6 O 0.375 0.504 0.629
7 O 0.496 0.125 0.871
8 O 0.875 0.746 0.371

Summary:
**Distance to the lowest polymorph of the same formula**: 1.847 eV/f.u.
**Calculated volume**: 163.3 Å³ per cell

=====

Here is a relaxed structure of CsKNiH6 from Alexandria via LeMat-Bulk. Energies are from PBE.

Unit cell a=5.805 b=5.805 c=5.634 alpha=90.00 beta=90.00 gamma=120.04
Positions (direct):
1 Cs 0.000 0.000 0.000
2 K 0.333 0.667 0.500
3 Ni 0.667 0.333 0.500
4 H 0.451 0.134 0.662
5 H 0.452 0.318 0.338
6 H 0.682 0.548 0.662
7 H 0.683 0.134 0.338
8 H 0.866 0.317 0.662
9 H 0.866 0.549 0.338

Summary:
**Calculated volume**: 164.4 Å³ per cell
**Uncorrected energy**: -3.233 eV per atom

=====

Here is a relaxed structure of SmTlZnSe3 from Alexandria via LeMat-Bulk. Energies are from PBE.

Unit cell a=9.174 b=4.186 c=9.779 alpha=90.00 beta=106.36 gamma=90.00
Positions (direct):
1 Sm 0.172 0.250 0.144
2 Sm 0.828 0.750 0.856
3 Tl 0.294 0.750 0.781
4 Tl 0.706 0.250 0.219
5 Zn 0.417 0.750 0.394
6 Zn 0.583 0.250 0.606
7 Se 0.043 0.250 0.837
8 Se 0.301 0.250 0.470
9 Se 0.394 0.750 0.136
10 Se 0.606 0.250 0.864
11 Se 0.699 0.750 0.530
12 Se 0.957 0.750 0.163

Summary:
**Calculated volume**: 360.3 Å³ per cell
**Uncorrected energy**: -4.252 eV per atom

=====

Here is a relaxed structure of KPuP2O6 from Alexandria via LeMat-Bulk. Energies are from PBE.

Unit cell a=6.654 b=6.654 c=8.024 alpha=101.22 beta=101.22 gamma=112.69
Positions (direct):
1 K 0.121 0.879 0.750
2 K 0.879 0.121 0.250
3 Pu 0.287 0.713 0.250
4 Pu 0.713 0.287 0.750
5 P 0.257 0.453 0.773
6 P 0.453 0.257 0.273
7 P 0.547 0.743 0.727
8 P 0.743 0.547 0.227
9 O 0.033 0.326 0.617
10 O 0.180 0.540 0.932
11 O 0.302 0.378 0.303
12 O 0.326 0.033 0.117
13 O 0.378 0.302 0.803
14 O 0.460 0.820 0.568
15 O 0.540 0.180 0.432
16 O 0.622 0.698 0.197
17 O 0.674 0.967 0.883
18 O 0.698 0.622 0.697
19 O 0.820 0.460 0.068
20 O 0.967 0.674 0.383

Summary:
**Calculated volume**: 306.9 Å³ per cell
**Uncorrected energy**: -7.944 eV per atom

=====

Here is a relaxed structure of Tb3HoSc5 from Alexandria via LeMat-Bulk. Energies are from PBE.

Unit cell a=9.253 b=9.253 c=9.253 alpha=126.44 beta=126.44 gamma=79.17
Positions (direct):
1 Tb 0.119 0.619 0.738
2 Tb 0.250 0.250 0.000
3 Tb 0.381 0.119 0.500
4 Tb 0.619 0.881 0.500
5 Tb 0.750 0.750 0.000
6 Tb 0.881 0.381 0.262
7 Ho 0.250 0.750 0.500
8 Ho 0.750 0.250 0.500
9 Sc 0.000 0.000 0.000
10 Sc 0.072 0.157 0.500
11 Sc 0.157 0.657 0.085
12 Sc 0.343 0.428 0.500
13 Sc 0.428 0.928 0.085
14 Sc 0.500 0.500 0.000
15 Sc 0.572 0.072 0.915
16 Sc 0.657 0.572 0.500
17 Sc 0.843 0.343 0.915
18 Sc 0.928 0.843 0.500

Summary:
**Formation enthalpy at 0 K**: 0.2832 eV per atom
**Calculated volume**: 495.9 Å³ per cell

=====

Calculated values (g/cm3) of ρ for the records, taken in order: 11.29 11.83 3.25 6.41 2.39 6.06 4.77 5.80.